DFT (GGA+U) results for FeSb2PbO after structural relaxation.

Cell and atoms, written as CIF:
```
data_FeSb2PbO
_space_group_name_H-M_alt 'P 4/m m m'
_space_group_IT_number 123
_space_group_name_Hall '-P 4 2'
_cell_length_a 5.744
_cell_length_b 5.744
_cell_length_c 3.622
_cell_angle_alpha 90.00
_cell_angle_beta 90.00
_cell_angle_gamma 90.00
loop_
_atom_site_label
_atom_site_fract_x
_atom_site_fract_y
_atom_site_fract_z
Fe1 0.000 0.000 0.000
Sb1 0.000 0.500 0.000
Pb1 0.500 0.500 0.500
O1 0.000 0.000 0.500
```

Values from the calculation:
* N(E_F): 2.979 states/eV per cell
* total DFT energy (no corrections): -4.61 eV per atom